{"formula": "CsBe2SbIr", "functional": "PBE", "state": "optimized geometry", "cell": [[4.974, 0.000, 0.000], [0.000, 4.974, 0.000], [0.000, 0.000, 5.124]], "species": ["Cs", "Be", "Be", "Sb", "Ir"], "fractional_positions": [[0.000, 0.000, 0.000], [0.000, 0.500, 0.500], [0.500, 0.000, 0.500], [0.500, 0.500, 0.500], [0.500, 0.500, 0.000]], "crystal_system": "tetragonal"}

---

{"formula": "CsBe2IrW", "functional": "PBE", "state": "optimized geometry", "cell": [[4.507, 0.000, 0.000], [0.000, 4.507, 0.000], [0.000, 0.000, 5.060]], "species": ["Cs", "Be", "Be", "Ir", "W"], "fractional_positions": [[0.000, 0.000, 0.000], [0.000, 0.500, 0.000], [0.500, 0.000, 0.000], [0.000, 0.000, 0.500], [0.500, 0.500, 0.500]], "delta_e_f_ev_per_atom": 3.234, "crystal_system": "tetragonal"}

---

{"formula": "Cs2KBe", "functional": "PBE", "state": "optimized geometry", "cell": [[-6.625, 6.625, 3.423], [6.625, -6.625, 3.423], [6.625, 6.625, -3.423]], "species": ["Cs", "Cs", "Cs", "Cs", "K", "K", "Be", "Be"], "fractional_positions": [[0.375, 0.233, 0.358], [0.767, 0.125, 0.142], [0.875, 0.017, 0.642], [0.983, 0.625, 0.858], [0.250, 0.750, 0.500], [0.500, 0.500, 0.000], [0.000, 0.000, 0.000], [0.750, 0.250, 0.500]], "delta_e_f_ev_per_atom": 0.646, "crystal_system": "tetragonal"}

---

{"formula": "CsKBe3", "functional": "PBE", "state": "optimized geometry", "cell": [[6.064, 0.000, 0.000], [0.000, 6.064, 0.000], [0.000, 0.000, 6.064]], "species": ["Cs", "K", "Be", "Be", "Be"], "fractional_positions": [[0.000, 0.000, 0.000], [0.500, 0.500, 0.500], [0.000, 0.500, 0.500], [0.500, 0.000, 0.500], [0.500, 0.500, 0.000]], "delta_e_f_ev_per_atom": 1.760, "crystal_system": "cubic"}

---

{"formula": "CsKBe3", "functional": "PBE", "state": "optimized geometry", "cell": [[6.203, 0.000, 0.000], [0.000, 6.203, 0.000], [0.000, 0.000, 6.203]], "species": ["Cs", "K", "Be", "Be", "Be"], "fractional_positions": [[0.000, 0.000, 0.000], [0.500, 0.500, 0.500], [0.000, 0.000, 0.500], [0.000, 0.500, 0.000], [0.500, 0.000, 0.000]], "delta_e_f_ev_per_atom": 1.894, "crystal_system": "cubic"}

---

{"formula": "Cs2KBe", "functional": "PBE", "state": "optimized geometry", "cell": [[0.000, 4.979, 4.979], [4.979, 0.000, 4.979], [4.979, 4.979, 0.000]], "species": ["Cs", "Cs", "K", "Be"], "fractional_positions": [[0.250, 0.250, 0.250], [0.750, 0.750, 0.750], [0.000, 0.000, 0.000], [0.500, 0.500, 0.500]], "delta_e_f_ev_per_atom": 0.700, "crystal_system": "cubic"}

---

{"formula": "CsK2LiBe", "functional": "PBE", "state": "optimized geometry", "cell": [[6.538, 0.000, 0.000], [0.000, 6.538, 0.000], [0.000, 0.000, 6.984]], "species": ["Cs", "K", "K", "Li", "Be"], "fractional_positions": [[0.000, 0.000, 0.000], [0.000, 0.500, 0.500], [0.500, 0.000, 0.500], [0.500, 0.500, 0.000], [0.000, 0.000, 0.500]], "delta_e_f_ev_per_atom": 0.622, "crystal_system": "tetragonal"}

---

{"formula": "CsKLiBe2", "functional": "PBE", "state": "optimized geometry", "cell": [[6.196, 0.000, 0.000], [0.000, 6.196, 0.000], [0.000, 0.000, 6.174]], "species": ["Cs", "K", "Li", "Be", "Be"], "fractional_positions": [[0.000, 0.000, 0.000], [0.500, 0.500, 0.500], [0.500, 0.500, 0.000], [0.000, 0.500, 0.500], [0.500, 0.000, 0.500]], "delta_e_f_ev_per_atom": 1.320, "crystal_system": "tetragonal"}

---

no.,total DFT energy (no corrections) (eV/cell)
1,-15.8
2,-14.0
3,-7.9
4,-4.3
5,-3.7
6,-3.7
7,-5.6
8,-4.7